First-principles (PBE-GGA) data for a relaxed structure of Ba6Mg15Ga8, as listed in Alexandria via LeMat-Bulk.

Results
ΔH_f (0 K) ... -0.172 eV/atom
Calculated density ... 3.46 g/cm³
Crystal system ... cubic
Symmetry ... No. 225
N(E_F) ... 21.302 states/eV/cell
Volume ... 28.9 A^3/atom

The structure in POSCAR format:
```
Ba6Mg15Ga8
1.0
0.000 7.481 7.481
7.481 0.000 7.481
7.481 7.481 0.000
Ba Mg Ga
6 15 8
Cartesian
7.481 7.481 3.685 Ba
7.481 3.685 7.481 Ba
11.278 7.481 7.481 Ba
3.685 7.481 7.481 Ba
7.481 11.278 7.481 Ba
7.481 7.481 11.278 Ba
3.741 3.741 0.000 Mg
3.741 0.000 3.741 Mg
7.481 3.741 3.741 Mg
2.607 2.607 2.607 Mg
4.874 4.874 2.607 Mg
4.874 2.607 4.874 Mg
2.607 4.874 4.874 Mg
0.000 3.741 3.741 Mg
3.741 7.481 3.741 Mg
3.741 3.741 7.481 Mg
7.481 7.481 7.481 Mg
12.356 10.088 10.088 Mg
10.088 12.356 10.088 Mg
10.088 10.088 12.356 Mg
12.356 12.356 12.356 Mg
9.526 5.437 5.437 Ga
5.437 5.437 5.437 Ga
9.526 9.526 5.437 Ga
9.526 5.437 9.526 Ga
5.437 9.526 5.437 Ga
5.437 5.437 9.526 Ga
9.526 9.526 9.526 Ga
5.437 9.526 9.526 Ga
```